Ba3LiAc2S6 | GGA-PBE | relaxed

abc: 7.585 7.585 7.666
angles: 99.44 99.44 120.03
Atoms (fractional coordinates):
Ac (0.333, 0.667, 0.000)
Ac (0.667, 0.333, 0.000)
S (0.923, 0.588, 0.769)
S (0.742, 0.742, 0.228)
S (0.412, 0.077, 0.231)
S (0.077, 0.412, 0.231)
S (0.258, 0.258, 0.772)
S (0.588, 0.923, 0.769)
Ba (0.836, 0.164, 0.500)
Ba (0.500, 0.500, 0.500)
Ba (0.164, 0.836, 0.500)
Li (0.000, 0.000, 0.000)

Values from the calculation:
- Raw total energy: -64.032 eV/cell
- Energy relative to the elements, uncorrected: -1947.4 meV per atom
- Total magnetization: 0.0 μB per cell